! PBE Hg2Te4P, optimized geometry; values from VASP
! - DFT total energy (eV for the cell shown) = -16.351
&SYSTEM
  ibrav = 0, nat = 7, ntyp = 3
/
ATOMIC_SPECIES
Te 127.60 Te.upf
P 30.97 P.upf
Hg 200.59 Hg.upf
ATOMIC_POSITIONS crystal
Te 0.810 0.810 0.000
Te 0.000 0.500 0.500
Te 0.500 0.000 0.500
Te 0.190 0.190 0.000
P 0.000 0.000 0.000
Hg 0.384 0.384 0.000
Hg 0.616 0.616 0.000
CELL_PARAMETERS angstrom
-2.709 2.709 7.272
2.709 -2.709 7.272
2.709 2.709 -7.272

! PBE NdThGa, optimized geometry; values from VASP
! - M_tot (μB/atom) = 0.0034
! - DFT total energy (eV for the cell shown) = -15.621
&SYSTEM
  ibrav = 0, nat = 3, ntyp = 3
/
ATOMIC_SPECIES
Ga 69.72 Ga.upf
Th 232.04 Th.upf
Nd 144.24 Nd.upf
ATOMIC_POSITIONS crystal
Ga 0.000 0.000 0.000
Th 0.750 0.750 0.750
Nd 0.250 0.250 0.250
CELL_PARAMETERS angstrom
-2.587 2.764 3.351
-4.556 1.827 -1.210
-4.147 -1.901 2.181

! PBE Rb2Cu2TeS, optimized geometry; values from VASP
! - DFT total energy (eV for the cell shown) = -20.589
&SYSTEM
  ibrav = 0, nat = 6, ntyp = 4
/
ATOMIC_SPECIES
Rb 85.47 Rb.upf
Cu 63.55 Cu.upf
S 32.06 S.upf
Te 127.60 Te.upf
ATOMIC_POSITIONS crystal
Rb 0.500 0.637 0.637
Rb 0.000 0.346 0.346
Cu 0.753 0.010 0.010
Cu 0.247 0.010 0.010
S 0.000 0.124 0.124
Te 0.500 0.873 0.873
CELL_PARAMETERS angstrom
-0.284 1.203 4.987
7.908 1.775 0.022
5.160 6.137 -1.187

! PBE SmS, optimized geometry; values from VASP
! - M_tot (μB/atom) = 0.0025
! - DFT total energy (eV for the cell shown) = -25.789
&SYSTEM
  ibrav = 0, nat = 4, ntyp = 2
/
ATOMIC_SPECIES
Sm 150.36 Sm.upf
S 32.06 S.upf
ATOMIC_POSITIONS crystal
Sm 0.753 0.250 0.750
Sm 0.247 0.750 0.250
S 0.748 0.250 0.250
S 0.252 0.750 0.750
CELL_PARAMETERS angstrom
4.006 0.000 0.000
0.000 4.004 0.000
-0.003 0.000 5.663

! PBE Tl2CuPtF6, optimized geometry; values from VASP
! - M_tot (μB/atom) = 0.0800
! - DFT total energy (eV for the cell shown) = -39.707
&SYSTEM
  ibrav = 0, nat = 10, ntyp = 4
/
ATOMIC_SPECIES
Pt 195.08 Pt.upf
F 19.00 F.upf
Tl 204.38 Tl.upf
Cu 63.55 Cu.upf
ATOMIC_POSITIONS crystal
Pt 0.500 0.500 0.500
F 0.244 0.244 0.756
F 0.244 0.756 0.244
F 0.756 0.756 0.244
F 0.244 0.756 0.756
F 0.756 0.244 0.244
F 0.756 0.244 0.756
Tl 0.750 0.750 0.750
Tl 0.250 0.250 0.250
Cu 0.000 0.000 0.000
CELL_PARAMETERS angstrom
-4.890 0.410 -3.181
-4.166 3.812 1.520
-0.964 4.742 -3.284

! PBE TmLuSn, optimized geometry; values from VASP
! - M_tot (μB/atom) = 0.0002
! - DFT total energy (eV for the cell shown) = -12.528
&SYSTEM
  ibrav = 0, nat = 3, ntyp = 3
/
ATOMIC_SPECIES
Tm 168.93 Tm.upf
Lu 174.97 Lu.upf
Sn 118.71 Sn.upf
ATOMIC_POSITIONS crystal
Tm 0.000 0.000 0.000
Lu 0.250 0.250 0.250
Sn 0.750 0.750 0.750
CELL_PARAMETERS angstrom
2.802 -3.890 1.863
-1.305 -2.205 4.460
-1.928 -4.768 0.044

! PBE PrZrAsO, optimized geometry; values from VASP
! - M_tot (μB/atom) = 0.0014
! - DFT total energy (eV for the cell shown) = -59.653
&SYSTEM
  ibrav = 0, nat = 8, ntyp = 4
/
ATOMIC_SPECIES
Zr 91.22 Zr.upf
O 16.00 O.upf
Pr 140.91 Pr.upf
As 74.92 As.upf
ATOMIC_POSITIONS crystal
Zr 0.500 0.106 0.511
Zr 0.500 0.894 0.011
O 0.500 0.853 0.353
O 0.500 0.147 0.853
Pr 0.000 0.716 0.447
Pr 0.000 0.284 0.947
As 0.000 0.679 0.943
As 0.000 0.321 0.443
CELL_PARAMETERS angstrom
4.175 0.000 0.000
0.000 7.468 0.000
0.000 0.000 6.073

! PBE HgAsOs2, optimized geometry; values from VASP
! - M_tot (μB/atom) = 0.0075
! - DFT total energy (eV for the cell shown) = -23.360
&SYSTEM
  ibrav = 0, nat = 4, ntyp = 3
/
ATOMIC_SPECIES
Hg 200.59 Hg.upf
As 74.92 As.upf
Os 190.23 Os.upf
ATOMIC_POSITIONS crystal
Hg 0.250 0.250 0.250
As 0.500 0.500 0.500
Os 0.000 0.000 0.000
Os 0.750 0.750 0.750
CELL_PARAMETERS angstrom
-2.866 1.841 3.026
-3.297 2.815 -1.404
-4.352 -1.345 0.127

! PBE K2Na2Gd4Nb2O13, optimized geometry; values from VASP
! - M_tot (μB/atom) = 0.0000
! - DFT total energy (eV for the cell shown) = -346.627
&SYSTEM
  ibrav = 0, nat = 46, ntyp = 5
/
ATOMIC_SPECIES
O 16.00 O.upf
Gd 157.25 Gd.upf
Nb 92.91 Nb.upf
K 39.10 K.upf
Na 22.99 Na.upf
ATOMIC_POSITIONS crystal
O 0.090 0.648 0.863
O 0.910 0.352 0.137
O 0.248 0.750 0.523
O 0.170 0.635 0.662
O 0.752 0.250 0.477
O 0.136 0.596 0.122
O 0.864 0.404 0.878
O 0.830 0.365 0.338
O 0.404 0.864 0.378
O 0.352 0.910 0.637
O 0.250 0.752 0.977
O 0.437 0.822 0.136
O 0.596 0.136 0.622
O 0.635 0.170 0.162
O 0.757 0.243 0.750
O 0.365 0.830 0.838
O 0.822 0.437 0.636
O 0.750 0.248 0.023
O 0.648 0.090 0.363
O 0.668 0.805 0.878
O 0.563 0.178 0.864
O 0.195 0.332 0.622
O 0.243 0.757 0.250
O 0.805 0.668 0.378
O 0.332 0.195 0.122
O 0.178 0.563 0.364
Gd 0.486 0.389 0.551
Gd 0.900 0.976 0.828
Gd 0.611 0.514 0.949
Gd 0.100 0.024 0.172
Gd 0.389 0.486 0.051
Gd 0.514 0.611 0.449
Gd 0.024 0.100 0.672
Gd 0.976 0.900 0.328
Nb 0.687 0.614 0.282
Nb 0.614 0.687 0.782
Nb 0.313 0.386 0.718
Nb 0.386 0.313 0.218
K 0.195 0.307 0.867
K 0.693 0.805 0.633
K 0.307 0.195 0.367
K 0.805 0.693 0.133
Na 0.201 0.117 0.021
Na 0.117 0.201 0.521
Na 0.883 0.799 0.479
Na 0.799 0.883 0.979
CELL_PARAMETERS angstrom
11.981 -2.802 0.000
11.981 2.802 0.000
-4.938 0.000 9.959

! PBE CsLaSm, optimized geometry; values from VASP
! - M_tot (μB/atom) = 1.4533
! - DFT total energy (eV for the cell shown) = -7.043
&SYSTEM
  ibrav = 0, nat = 3, ntyp = 3
/
ATOMIC_SPECIES
La 138.91 La.upf
Cs 132.91 Cs.upf
Sm 150.36 Sm.upf
ATOMIC_POSITIONS crystal
La 0.750 0.750 0.750
Cs 0.250 0.250 0.250
Sm 0.000 0.000 0.000
CELL_PARAMETERS angstrom
0.000 4.390 4.390
4.390 0.000 4.390
4.390 4.390 0.000

! PBE Be22Mo, optimized geometry; values from VASP
! - M_tot (μB/atom) = 0.0001
! - DFT total energy (eV for the cell shown) = -189.176
&SYSTEM
  ibrav = 0, nat = 46, ntyp = 2
/
ATOMIC_SPECIES
Be 9.01 Be.upf
Mo 95.94 Mo.upf
ATOMIC_POSITIONS crystal
Be 0.625 0.625 0.625
Be 0.421 0.681 0.949
Be 0.949 0.421 0.949
Be 0.829 0.301 0.569
Be 0.125 0.125 0.625
Be 0.301 0.829 0.569
Be 0.625 0.125 0.125
Be 0.301 0.569 0.301
Be 0.135 0.865 0.865
Be 0.569 0.301 0.829
Be 0.829 0.569 0.301
Be 0.301 0.301 0.569
Be 0.625 0.625 0.125
Be 0.125 0.125 0.125
Be 0.385 0.385 0.115
Be 0.421 0.949 0.681
Be 0.385 0.115 0.385
Be 0.865 0.865 0.135
Be 0.865 0.135 0.865
Be 0.301 0.301 0.829
Be 0.949 0.949 0.421
Be 0.569 0.301 0.301
Be 0.949 0.681 0.421
Be 0.125 0.625 0.125
Be 0.865 0.135 0.135
Be 0.829 0.301 0.301
Be 0.115 0.115 0.385
Be 0.385 0.115 0.115
Be 0.135 0.135 0.865
Be 0.421 0.949 0.949
Be 0.115 0.385 0.385
Be 0.115 0.385 0.115
Be 0.681 0.421 0.949
Be 0.301 0.829 0.301
Be 0.569 0.829 0.301
Be 0.625 0.125 0.625
Be 0.949 0.681 0.949
Be 0.301 0.569 0.829
Be 0.949 0.949 0.681
Be 0.681 0.949 0.421
Be 0.125 0.625 0.625
Be 0.949 0.421 0.681
Be 0.135 0.865 0.135
Be 0.681 0.949 0.949
Mo 0.750 0.750 0.750
Mo 0.500 0.500 0.500
CELL_PARAMETERS angstrom
0.000 5.783 5.783
5.783 0.000 5.783
5.783 5.783 0.000

! PBE LuScInCu, optimized geometry; values from VASP
! - M_tot (μB/atom) = 0.0214
! - DFT total energy (eV for the cell shown) = -17.356
&SYSTEM
  ibrav = 0, nat = 4, ntyp = 4
/
ATOMIC_SPECIES
In 114.82 In.upf
Sc 44.96 Sc.upf
Lu 174.97 Lu.upf
Cu 63.55 Cu.upf
ATOMIC_POSITIONS crystal
In 0.000 0.000 0.000
Sc 0.250 0.250 0.250
Lu 0.500 0.500 0.500
Cu 0.750 0.750 0.750
CELL_PARAMETERS angstrom
0.000 3.487 3.487
3.487 0.000 3.487
3.487 3.487 0.000

Question: Which of these has the lowest DFT total energy?
Answer: K2Na2Gd4Nb2O13